Entry 1:
The following is a DFT calculation (PBE) of a relaxed Tl2BiAuCl6 crystal.

Properties
- uncorrected formation energy (eV/atom) = -0.852

a = 7.7520 Å, b = 7.9881 Å, c = 8.0618 Å
α = 57.47°, β = 57.72°, γ = 61.00°
Positions (direct):
Cl  0.1659  0.9979  0.2765
Cl  0.5185  0.6513  0.6992
Cl  0.1483  0.4507  0.7548
Cl  0.6945  0.0658  0.7838
Cl  0.0202  0.5465  0.2427
Cl  0.5870  0.1925  0.2329
Bi  0.3271  0.3139  0.0326
Tl  0.0556  0.0315  0.9257
Tl  0.5432  0.5612  0.3092
Au  0.6012  0.8503  0.7578

***

Entry 2:
The following is a DFT calculation (PBE) of a relaxed Y2BiAuCl crystal.

Properties
- uncorrected formation energy (eV/atom) = -0.251
- polymorph energy (0 for the lowest one) (meV/atom) = 0

a = 5.6361 Å, b = 4.8822 Å, c = 5.6361 Å
α = 90.00°, β = 90.00°, γ = 90.00°
Positions (direct):
Y  0.5000  0.0000  0.0000
Y  0.0000  0.0000  0.5000
Cl  0.0000  0.5000  0.0000
Bi  0.5000  0.5000  0.5000
Au  0.0000  0.0000  0.0000

***

Entry 3:
The following is a DFT calculation (PBE) of a relaxed Y2BiAuCl crystal.

Properties
- uncorrected formation energy (eV/atom) = -0.148
- polymorph energy (0 for the lowest one) (meV/atom) = 103

a = 5.0902 Å, b = 5.4924 Å, c = 5.0902 Å
α = 90.00°, β = 90.00°, γ = 90.00°
Positions (direct):
Au  0.5000  0.5000  0.5000
Cl  0.0000  0.0000  0.0000
Bi  0.0000  0.5000  0.0000
Y  0.5000  0.0000  0.0000
Y  0.0000  0.0000  0.5000

***

Entry 4:
The following is a DFT calculation (PBE) of a relaxed CoBi2Au crystal.

Properties
- formation enthalpy at 0 K (eV per atom) = 0.40
- polymorph energy (0 for the lowest one) (meV/atom) = 0

a = 4.9929 Å, b = 4.9929 Å, c = 4.9929 Å
α = 60.00°, β = 60.00°, γ = 60.00°
Positions (direct):
Bi  0.2500  0.2500  0.2500
Bi  0.7500  0.7500  0.7500
Co  0.0000  0.0000  0.0000
Au  0.5000  0.5000  0.5000

***

| no. | volume (Å³/f.u.) | electronic total energy (eV/atom) |
| --- | --- | --- |
| 1 | 342 | -3.1487 |
| 2 | 155 | -4.6375 |
| 3 | 142 | -4.5347 |
| 4 | 88 | -4.1328 |